# La6Tb2YHo, optimized geometry, DFT PBE-GGA
# SG: C2/c
# Formation energy: 115 meV/atom
# Volume: 34.869 A^3/atom
# M_tot: 0.00 μB per cell
data_La6Tb2YHo
_cell_length_a 9.276
_cell_length_b 9.089
_cell_length_c 9.089
_cell_angle_alpha 114.38
_cell_angle_beta 88.80
_cell_angle_gamma 88.80
_space_group_name_H-M_alt 'P 1'
_space_group_IT_number 1
loop_
_space_group_symop_operation_xyz
'x,y,z'
loop_
_atom_site_label
_atom_site_type_symbol
_atom_site_fract_x
_atom_site_fract_y
_atom_site_fract_z
La1 La 0.102 0.062 0.786
La2 La 0.398 0.214 0.938
La3 La 0.898 0.938 0.214
La4 La 0.602 0.786 0.062
La5 La 0.320 0.040 0.479
La6 La 0.180 0.521 0.960
La7 La 0.680 0.960 0.521
La8 La 0.820 0.479 0.040
La9 La 0.086 0.726 0.424
La10 La 0.414 0.576 0.274
La11 La 0.914 0.274 0.576
La12 La 0.586 0.424 0.726
Tb1 Tb 0.436 0.793 0.703
Tb2 Tb 0.064 0.297 0.207
Tb3 Tb 0.564 0.207 0.297
Tb4 Tb 0.936 0.703 0.793
Y1 Y 0.250 0.924 0.076
Y2 Y 0.750 0.076 0.924
Ho1 Ho 0.250 0.440 0.560
Ho2 Ho 0.750 0.560 0.440

# La2Tb6YHo, optimized geometry, DFT PBE-GGA
# SG: C2/c
# Formation energy: 118 meV/atom
# Volume: 33.230 A^3/atom
# M_tot: 0.00 μB per cell
data_La2Tb6YHo
_cell_length_a 9.882
_cell_length_b 8.802
_cell_length_c 8.802
_cell_angle_alpha 118.20
_cell_angle_beta 95.07
_cell_angle_gamma 95.07
_space_group_name_H-M_alt 'P 1'
_space_group_IT_number 1
loop_
_space_group_symop_operation_xyz
'x,y,z'
loop_
_atom_site_label
_atom_site_type_symbol
_atom_site_fract_x
_atom_site_fract_y
_atom_site_fract_z
La1 La 0.458 0.807 0.704
La2 La 0.042 0.296 0.193
La3 La 0.542 0.193 0.296
La4 La 0.958 0.704 0.807
Tb1 Tb 0.057 0.124 0.740
Tb2 Tb 0.443 0.260 0.876
Tb3 Tb 0.943 0.876 0.260
Tb4 Tb 0.557 0.740 0.124
Tb5 Tb 0.311 0.977 0.420
Tb6 Tb 0.189 0.580 0.023
Tb7 Tb 0.689 0.023 0.580
Tb8 Tb 0.811 0.420 0.977
Tb9 Tb 0.120 0.706 0.498
Tb10 Tb 0.380 0.502 0.294
Tb11 Tb 0.880 0.294 0.502
Tb12 Tb 0.620 0.498 0.706
Y1 Y 0.250 0.986 0.014
Y2 Y 0.750 0.014 0.986
Ho1 Ho 0.250 0.405 0.595
Ho2 Ho 0.750 0.595 0.405

# LaTbY2Ho5, optimized geometry, DFT PBE-GGA
# SG: Cmc2_1
# Formation energy: 163 meV/atom
# Volume: 32.691 A^3/atom
# M_tot: 0.00 μB per cell
data_LaTbY2Ho5
_cell_length_a 5.628
_cell_length_b 10.274
_cell_length_c 10.581
_cell_angle_alpha 90.00
_cell_angle_beta 90.00
_cell_angle_gamma 105.90
_space_group_name_H-M_alt 'P 1'
_space_group_IT_number 1
loop_
_space_group_symop_operation_xyz
'x,y,z'
loop_
_atom_site_label
_atom_site_type_symbol
_atom_site_fract_x
_atom_site_fract_y
_atom_site_fract_z
La1 La 0.581 0.162 0.952
La2 La 0.419 0.838 0.452
Tb1 Tb 0.798 0.597 0.512
Tb2 Tb 0.202 0.403 0.012
Y1 Y 0.887 0.773 0.820
Y2 Y 0.111 0.222 0.733
Y3 Y 0.113 0.227 0.320
Y4 Y 0.889 0.778 0.233
Ho1 Ho 0.388 0.776 0.023
Ho2 Ho 0.718 0.436 0.812
Ho3 Ho 0.479 0.959 0.736
Ho4 Ho 0.297 0.594 0.709
Ho5 Ho 0.982 0.964 0.527
Ho6 Ho 0.612 0.224 0.523
Ho7 Ho 0.282 0.564 0.312
Ho8 Ho 0.521 0.041 0.236
Ho9 Ho 0.703 0.406 0.209
Ho10 Ho 0.018 0.036 0.027

# La2TbY6Ho, optimized geometry, DFT PBE-GGA
# SG: C2/c
# Formation energy: 116 meV/atom
# Volume: 33.323 A^3/atom
# M_tot: 0.00 μB per cell
data_La2TbY6Ho
_cell_length_a 9.978
_cell_length_b 8.762
_cell_length_c 8.762
_cell_angle_alpha 117.49
_cell_angle_beta 95.81
_cell_angle_gamma 95.81
_space_group_name_H-M_alt 'P 1'
_space_group_IT_number 1
loop_
_space_group_symop_operation_xyz
'x,y,z'
loop_
_atom_site_label
_atom_site_type_symbol
_atom_site_fract_x
_atom_site_fract_y
_atom_site_fract_z
La1 La 0.455 0.808 0.714
La2 La 0.045 0.286 0.192
La3 La 0.545 0.192 0.286
La4 La 0.955 0.714 0.808
Tb1 Tb 0.250 0.987 0.013
Tb2 Tb 0.750 0.013 0.987
Y1 Y 0.057 0.119 0.737
Y2 Y 0.443 0.263 0.881
Y3 Y 0.943 0.881 0.263
Y4 Y 0.557 0.737 0.119
Y5 Y 0.312 0.980 0.420
Y6 Y 0.188 0.580 0.020
Y7 Y 0.688 0.020 0.580
Y8 Y 0.812 0.420 0.980
Y9 Y 0.117 0.700 0.493
Y10 Y 0.383 0.507 0.300
Y11 Y 0.883 0.300 0.507
Y12 Y 0.617 0.493 0.700
Ho1 Ho 0.250 0.403 0.597
Ho2 Ho 0.750 0.597 0.403